Material: TaBe2Ru
Method: DFT, GGA-PBE
State: relaxed

Cell lengths 3.5075, 2.9910, 9.0403 Å; angles 90.00, 90.00, 90.00 degrees
With the nearest neighbours (Å) after each atom.
Space group Amm2 (No. 38)
Asymmetric unit:
Ta  0.0000  0.0000  0.0000 [2 per cell]  7 Be 2.44-2.56
Be  0.0000  0.0000  0.7297 [2 per cell]  2 Be 2.08
Be  0.5000  0.0000  0.6059 [2 per cell]  2 Be 2.08
Ru  0.5000  0.0000  0.3158 [2 per cell]  7 Be 2.42-2.62

Computed properties:
total energy	-59.68	eV/cell
total moment	0.00	Bohr magnetons per cell
energy of formation from the pure elements	-30.35	kJ/mol of atoms